First-principles (GGA-PBE) data for a relaxed structure of K2MnZn, as listed in Alexandria.

The structure in CIF format:
```
data_K2MnZn
_chemical_formula_sum 'K8 Mn4 Zn4'
_cell_length_a 7.955
_cell_length_b 7.955
_cell_length_c 7.955
_cell_angle_alpha 90.00
_cell_angle_beta 90.00
_cell_angle_gamma 90.00
_space_group_name_H-M_alt 'F -4 3 m'
_space_group_IT_number 216
_space_group_name_Hall 'F -4 2 3'
loop_
_atom_site_label
_atom_site_fract_x
_atom_site_fract_y
_atom_site_fract_z
K1 0.000 0.000 0.000
K2 0.250 0.250 0.250
Mn1 0.250 0.250 0.750
Zn1 0.000 0.000 0.500
```

Output
Formation energy, meV per atom: 674.2
Fermi-level density of states, states/eV per atom: 1.059